The following is a PBE calculation of a geometry-optimized BaSrAcRh structure, from the Alexandria database.

abc: 7.5253 4.3443 10.9233
angles: 90.00 103.24 90.00
Last column: nearest neighbours and their distance in Å.
Space group Cm (No. 8)
Symmetry-distinct sites (fractional):
Ba 0.0000 0.0000 0.0000 x2  6 Ba 4.34, 3 Sr 4.46, 3 Ac 4.48-4.49
Sr 0.2185 0.0000 0.6531 x2  3 Rh 3.09
Ac 0.4507 0.0000 0.3491 x2  3 Rh 2.89
Rh 0.3288 0.5000 0.4837 x2  3 Ac 2.89, 3 Sr 3.09

Values from the calculation:
Magnetization   0.000 μB/cell
Crystal system   monoclinic
V   43.45 A^3/atom
Energy relative to the elements   -0.306 eV per atom
DOS(E_F)   2.65 states/eV/f.u.

The following is a PBE calculation of a geometry-optimized BaAcZnRh structure, from the Alexandria database.

abc: 7.6875 7.6875 7.6875
angles: 90.00 90.00 90.00
Last column: nearest neighbours and their distance in Å.
Space group F-43m (No. 216)
Symmetry-distinct sites (fractional):
Ba 0.0000 0.0000 0.0000 x4  4 Rh 3.33, 4 Zn 3.33
Ac 0.0000 0.0000 0.5000 x4  4 Rh 3.33, 4 Zn 3.33
Zn 0.2500 0.2500 0.2500 x4  4 Ba 3.33, 4 Ac 3.33
Rh 0.2500 0.2500 0.7500 x4  4 Ba 3.33, 4 Ac 3.33

Values from the calculation:
Magnetization   0.000 μB/cell
Crystal system   cubic
V   28.39 A^3/atom
Energy relative to the elements   -0.195 eV per atom
DOS(E_F)   4.46 states/eV/f.u.

The following is a PBE calculation of a geometry-optimized Ba2Ac4Ru structure, from the Alexandria database.

abc: 5.8681 5.8681 20.8194
angles: 90.00 90.00 90.00
Last column: nearest neighbours and their distance in Å.
Space group I4/mmm (No. 139)
Symmetry-distinct sites (fractional):
Ba 0.0000 0.0000 0.1655 x4  9 Ac 4.14-4.53
Ac 0.0000 0.0000 0.3644 x4  1 Ru 2.82
Ac 0.0000 0.5000 0.0000 x4  2 Ru 2.93
Ru 0.0000 0.0000 0.5000 x2  6 Ac 2.82-2.93

Values from the calculation:
Magnetization   0.002 μB/cell
Crystal system   tetragonal
V   51.21 A^3/atom
Energy relative to the elements   0.057 eV per atom
DOS(E_F)   9.96 states/eV/f.u.

The following is a PBE calculation of a geometry-optimized BaAc3Ru structure, from the Alexandria database.

abc: 13.6048 5.9759 11.8551
angles: 90.00 116.32 90.00
Last column: nearest neighbours and their distance in Å.
Space group C2/m (No. 12)
Symmetry-distinct sites (fractional):
Ba 0.1206 0.0000 0.4317 x4  9 Ac 4.24-4.45, 3 Ba 4.25-4.35
Ac 0.1165 0.5000 0.1744 x4  2 Ru 2.84-3.05
Ac 0.1269 0.5000 0.6889 x4  1 Ru 2.77
Ac 0.1352 0.0000 0.9406 x4  3 Ru 3.00-3.05
Ru 0.1151 0.5000 0.9160 x4  6 Ac 2.77-3.05

Values from the calculation:
Magnetization   0.000 μB/cell
Crystal system   monoclinic
V   43.20 A^3/atom
Energy relative to the elements   -0.107 eV per atom
DOS(E_F)   5.86 states/eV/f.u.

The following is a PBE calculation of a geometry-optimized BaAc3Ru structure, from the Alexandria database.

abc: 5.9510 5.9510 5.9510
angles: 90.00 90.00 90.00
Last column: nearest neighbours and their distance in Å.
Space group Pm-3m (No. 221)
Symmetry-distinct sites (fractional):
Ba 0.0000 0.0000 0.0000 x1  12 Ac 4.21
Ac 0.0000 0.5000 0.5000 x3  2 Ru 2.98
Ru 0.5000 0.5000 0.5000 x1  6 Ac 2.98

Values from the calculation:
Magnetization   0.001 μB/cell
Crystal system   cubic
V   42.15 A^3/atom
Energy relative to the elements   -0.098 eV per atom
DOS(E_F)   6.06 states/eV/f.u.

The following is a PBE calculation of a geometry-optimized Ba4AcS5 structure, from the Alexandria database.

abc: 10.0646 10.0646 6.3586
angles: 90.00 90.00 90.00
Last column: nearest neighbours and their distance in Å.
Space group I4/m (No. 87)
Symmetry-distinct sites (fractional):
Ba 0.0976 0.3011 0.0000 x8  6 S 3.18-3.30
Ac 0.0000 0.0000 0.5000 x2  6 S 3.04-3.18
S 0.0000 0.0000 0.0000 x2  2 Ac 3.18, 4 Ba 3.19
S 0.0959 0.2863 0.5000 x8  1 Ac 3.04, 5 Ba 3.18-3.30

Values from the calculation:
Magnetization   0.000 μB/cell
Crystal system   tetragonal
Raw formation energy   -2063.7 meV per atom
V   32.21 A^3/atom
DOS(E_F)   2.52 states/eV/f.u.

The following is a PBE calculation of a geometry-optimized BaAc2S3 structure, from the Alexandria database.

abc: 4.3469 4.3469 21.8296
angles: 90.00 90.00 120.00
Last column: nearest neighbours and their distance in Å.
Space group P6_3/mmc (No. 194)
Symmetry-distinct sites (fractional):
Ba 0.0000 0.0000 0.2500 x2  6 S 3.21
Ac 0.3333 0.6667 0.0794 x4  6 S 3.05
S 0.0000 0.0000 0.0000 x2  6 Ac 3.05
S 0.3333 0.6667 0.6585 x4  3 Ac 3.05, 3 Ba 3.21

Values from the calculation:
Magnetization   0.002 μB/cell
Crystal system   hexagonal
Raw formation energy   -2015.8 meV per atom
V   29.77 A^3/atom
DOS(E_F)   3.14 states/eV/f.u.

The following is a PBE calculation of a geometry-optimized BaAc2S4 structure, from the Alexandria database.

abc: 12.3319 4.4611 15.4498
angles: 90.00 90.00 90.00
Last column: nearest neighbours and their distance in Å.
Space group Pnma (No. 62)
Symmetry-distinct sites (fractional):
Ba 0.2349 0.2500 0.1561 x4  8 S 3.28-3.57
Ac 0.0611 0.7500 0.3881 x4  6 S 2.89-3.11
Ac 0.1051 0.7500 0.8977 x4  6 S 2.97-3.04
S 0.0076 0.7500 0.7178 x4  3 Ac 2.89-3.03
S 0.0607 0.7500 0.0865 x4  3 Ac 2.97-3.04, 2 Ba 3.28
S 0.1520 0.2500 0.5081 x4  4 Ac 3.08-3.45
S 0.2265 0.2500 0.8082 x4  3 Ac 2.90-3.02

Values from the calculation:
Magnetization   0.000 μB/cell
Crystal system   orthorhombic
Raw formation energy   -2158.0 meV per atom
V   30.36 A^3/atom
DOS(E_F)   0.00 states/eV/f.u.

The following is a PBE calculation of a geometry-optimized Ba5AcS6 structure, from the Alexandria database.

abc: 7.8159 13.5291 7.8108
angles: 90.00 109.48 90.00
Last column: nearest neighbours and their distance in Å.
Space group C2/m (No. 12)
Symmetry-distinct sites (fractional):
Ba 0.0000 0.0000 0.0000 x2  6 S 3.18-3.32
Ba 0.0000 0.1662 0.5000 x4  6 S 3.20
Ba 0.0000 0.3310 0.0000 x4  6 S 3.19-3.30
Ac 0.0000 0.5000 0.5000 x2  6 S 3.06
S 0.2375 0.5000 0.2576 x4  1 Ac 3.06, 5 Ba 3.20-3.32
S 0.2398 0.3405 0.7411 x8  1 Ac 3.06, 5 Ba 3.18-3.30

Values from the calculation:
Magnetization   0.000 μB/cell
Crystal system   monoclinic
Raw formation energy   -2073.2 meV per atom
V   32.44 A^3/atom
DOS(E_F)   2.53 states/eV/f.u.

The following is a PBE calculation of a geometry-optimized BaAc4S5 structure, from the Alexandria database.

abc: 4.3410 6.1450 21.7748
angles: 90.00 90.00 90.00
Last column: nearest neighbours and their distance in Å.
Space group Immm (No. 71)
Symmetry-distinct sites (fractional):
Ba 0.0000 0.0000 0.0000 x2  6 S 3.07-3.16
Ac 0.0000 0.0000 0.2028 x4  6 S 3.04-3.07
Ac 0.0000 0.0000 0.3991 x4  6 S 3.04-3.09
S 0.0000 0.5000 0.0000 x2  2 Ba 3.07, 4 Ac 3.09
S 0.0000 0.5000 0.1988 x4  6 Ac 3.04-3.07
S 0.0000 0.5000 0.3947 x4  4 Ac 3.04-3.07, 2 Ba 3.16

Values from the calculation:
Magnetization   0.000 μB/cell
Crystal system   orthorhombic
Raw formation energy   -2009.5 meV per atom
V   29.04 A^3/atom
DOS(E_F)   4.85 states/eV/f.u.

The following is a PBE calculation of a geometry-optimized Ba3AcS4 structure, from the Alexandria database.

abc: 8.9889 12.6815 4.4784
angles: 90.00 90.00 90.00
Last column: nearest neighbours and their distance in Å.
Space group Cmmm (No. 65)
Symmetry-distinct sites (fractional):
Ba 0.0000 0.0000 0.0000 x2  6 S 3.27-3.28
Ba 0.2500 0.2500 0.5000 x4  6 S 3.17
Ac 0.0000 0.5000 0.0000 x2  6 S 3.06-3.08
S 0.0000 0.2590 0.0000 x4  1 Ac 3.06, 5 Ba 3.17-3.28
S 0.2352 0.5000 0.5000 x4  2 Ac 3.08, 4 Ba 3.17-3.27

Values from the calculation:
Magnetization   0.000 μB/cell
Crystal system   orthorhombic
Raw formation energy   -2060.2 meV per atom
V   31.91 A^3/atom
DOS(E_F)   3.05 states/eV/f.u.

The following is a PBE calculation of a geometry-optimized Ba2AcS3 structure, from the Alexandria database.

abc: 8.9355 12.6192 26.7315
angles: 90.00 90.00 90.00
Last column: nearest neighbours and their distance in Å.
Space group Fddd (No. 70, origin choice 2)
Symmetry-distinct sites (fractional):
Ba 0.1250 0.1250 0.0431 x16  6 S 3.18-3.26
Ba 0.1250 0.1250 0.3734 x16  6 S 3.16-3.23
Ac 0.1250 0.1250 0.5415 x16  6 S 3.05-3.06
S 0.1084 0.3750 0.8750 x16  2 Ac 3.06, 4 Ba 3.16-3.24
S 0.1170 0.3672 0.7112 x32  2 Ac 3.05-3.06, 4 Ba 3.18-3.26

Values from the calculation:
Magnetization   0.000 μB/cell
Crystal system   orthorhombic
Raw formation energy   -2060.8 meV per atom
V   31.40 A^3/atom
DOS(E_F)   1.32 states/eV/f.u.